Entry 1:
CuRe2Ag: optimized geometry, PBE.

POSCAR file:
```
CuRe2Ag
1.0
-1.9786 1.9786 3.7679
1.9786 -1.9786 3.7679
1.9786 1.9786 -3.7679
Cu Re Ag
1 2 1
Direct
0.0000 0.0000 0.0000 Cu
0.5000 0.5000 0.0000 Re
0.7500 0.2500 0.5000 Re
0.2500 0.7500 0.5000 Ag
```

Output
Total moment in μB per atom: 0.00
Electronic total energy in eV per atom: -7.41
Space group: I-4m2, No. 119
Crystal system: tetragonal
Excess energy over the best structure of this formula in the dataset in eV per atom: 0.3202
Calculated formation energy in eV/atom: 0.5486

---

Entry 2:
CuRe2Ag: optimized geometry, PBE.

POSCAR file:
```
CuRe2Ag
1.0
4.9135 -1.3618 0.0000
4.9135 1.3618 0.0000
-1.0658 0.0000 4.4893
Cu Re Ag
1 2 1
Direct
0.0000 0.0000 0.0000 Cu
0.2663 0.2663 0.7618 Re
0.7337 0.7337 0.2382 Re
0.5000 0.5000 0.5000 Ag
```

Output
Total moment in μB per atom: 0.00
Electronic total energy in eV per atom: -7.49
Space group: C2/m, No. 12
Crystal system: monoclinic
Excess energy over the best structure of this formula in the dataset in eV per atom: 0.2460
Calculated formation energy in eV/atom: 0.4743

---

Entry 3:
CuReAg2: optimized geometry, PBE.

POSCAR file:
```
CuReAg2
1.0
2.7077 0.0000 0.0000
0.0000 2.7077 0.0000
0.0000 0.0000 8.4787
Cu Re Ag
1 1 2
Direct
0.0000 0.0000 0.0000 Cu
0.5000 0.5000 0.2204 Re
0.0000 0.0000 0.4850 Ag
0.5000 0.5000 0.7581 Ag
```

Output
Total moment in μB per atom: 0.00
Electronic total energy in eV per atom: -5.20
Space group: P4mm, No. 99
Crystal system: tetragonal
Excess energy over the best structure of this formula in the dataset in eV per atom: 0.0036
Calculated formation energy in eV/atom: 0.3636

---

Entry 4:
CuRe2Ag: optimized geometry, PBE.

POSCAR file:
```
CuRe2Ag
1.0
1.4534 -2.2112 0.0000
1.4534 2.2112 0.0000
0.0000 0.0000 9.4168
Cu Re Ag
1 2 1
Direct
0.0000 0.0000 0.0000 Cu
0.5000 0.5000 0.2335 Re
0.5000 0.5000 0.7665 Re
0.0000 0.0000 0.5000 Ag
```

Output
Total moment in μB per atom: 0.00
Electronic total energy in eV per atom: -7.40
Space group: Cmmm, No. 65
Crystal system: orthorhombic
Excess energy over the best structure of this formula in the dataset in eV per atom: 0.3350
Calculated formation energy in eV/atom: 0.5633

---

Entry 5:
CuRe2Ag: optimized geometry, PBE.

POSCAR file:
```
CuRe2Ag
1.0
-1.8302 1.8302 9.7679
1.8302 -1.8302 9.7679
1.8302 1.8302 -9.7679
Cu Re Ag
2 4 2
Direct
0.0000 0.0000 0.0000 Cu
0.7500 0.2500 0.5000 Cu
0.0946 0.6250 0.9696 Re
0.3750 0.3446 0.4696 Re
0.6554 0.1250 0.0304 Re
0.8750 0.9054 0.5304 Re
0.2500 0.7500 0.5000 Ag
0.5000 0.5000 0.0000 Ag
```

Output
Total moment in μB per atom: 0.00
Electronic total energy in eV per atom: -7.08
Space group: I-42d, No. 122
Crystal system: tetragonal
Excess energy over the best structure of this formula in the dataset in eV per atom: 0.6564
Calculated formation energy in eV/atom: 0.8847

---

Entry 6:
CuRe2Ag: optimized geometry, PBE.

POSCAR file:
```
CuRe2Ag
1.0
2.7463 0.0000 0.0000
0.0000 3.9192 0.0000
0.0000 0.0000 5.6278
Cu Re Ag
1 2 1
Direct
0.0000 0.0000 0.0000 Cu
0.0000 0.0000 0.4691 Re
0.5000 0.5000 0.2671 Re
0.5000 0.5000 0.7717 Ag
```

Output
Total moment in μB per atom: 0.00
Electronic total energy in eV per atom: -7.55
Space group: Pmm2, No. 25
Crystal system: orthorhombic
Excess energy over the best structure of this formula in the dataset in eV per atom: 0.1778
Calculated formation energy in eV/atom: 0.4062